Here is an optimized crystal structure of K3InS2 from Alexandria via LeMat-Bulk. Energies are from PBE.

Structure (CIF):
```
data_K3InS2
_chemical_formula_sum 'K12 In4 S8'
_symmetry_space_group_name_H-M 'I b a m'
_symmetry_Int_Tables_number 72
_symmetry_space_group_name_Hall '-I 2 2c'
_cell_length_a 7.554
_cell_length_b 14.951
_cell_length_c 7.552
_cell_angle_alpha 90.00
_cell_angle_beta 90.00
_cell_angle_gamma 90.00
loop_
_atom_site_label
_atom_site_type_symbol
_atom_site_fract_x
_atom_site_fract_y
_atom_site_fract_z
K1 K 0.000 0.000 0.250
K2 K 0.000 0.262 0.250
In1 In 0.000 0.500 0.000
S1 S 0.227 0.132 0.000
```

Values from the calculation:
* energy relative to the elements, uncorrected: -0.778 eV per atom